# 1
# Ac2La3SmTe6 | Alexandria via LeMat-Bulk | GGA-PBE | optimized geometry
# **Formation energy without anion corrections**: -1.521 eV per atom
# **VASP energy**: -5.4016 eV per atom
data_Ac2La3SmTe6
_chemical_formula_sum 'Ac4 La6 Sm2 Te12'
_cell_length_a 7.970
_cell_length_b 13.871
_cell_length_c 7.992
_cell_angle_alpha 90.00
_cell_angle_beta 109.63
_cell_angle_gamma 90.00
_space_group_name_H-M_alt 'C 1 2/m 1'
_space_group_IT_number 12
_space_group_name_Hall '-C 2y'
loop_
_atom_site_label
_atom_site_type_symbol
_atom_site_fract_x
_atom_site_fract_y
_atom_site_fract_z
Ac1 Ac 0.000 0.165 0.000
La1 La 0.000 0.000 0.500
La2 La 0.000 0.327 0.500
Sm1 Sm 0.000 0.500 0.000
Te1 Te 0.236 0.500 0.742
Te2 Te 0.244 0.339 0.251

***

# 2
# LaPmPd6 | Alexandria via LeMat-Bulk | GGA-PBE | optimized geometry
# **E above lowest polymorph**: 161 kJ/mol of formula units
# **Energy of formation**: -4.65 eV per formula unit
# **VASP energy**: -5.6859 eV per atom
data_LaPmPd6
_chemical_formula_sum 'La1 Pm1 Pd6'
_cell_length_a 5.390
_cell_length_b 5.390
_cell_length_c 5.390
_cell_angle_alpha 90.00
_cell_angle_beta 90.00
_cell_angle_gamma 90.00
_space_group_name_H-M_alt 'P m -3'
_space_group_IT_number 200
_space_group_name_Hall '-P 2 2 3'
loop_
_atom_site_label
_atom_site_type_symbol
_atom_site_fract_x
_atom_site_fract_y
_atom_site_fract_z
La1 La 0.000 0.000 0.000
Pm1 Pm 0.500 0.500 0.500
Pd1 Pd 0.000 0.500 0.251

***

# 3
# Th3MoI3 | Alexandria via LeMat-Bulk | GGA-PBE | optimized geometry
# **Formation energy without anion corrections**: -0.555 eV per atom
# **VASP energy**: -5.9468 eV per atom
data_Th3MoI3
_chemical_formula_sum 'Th6 Mo2 I6'
_cell_length_a 9.678
_cell_length_b 4.198
_cell_length_c 12.670
_cell_angle_alpha 90.00
_cell_angle_beta 93.15
_cell_angle_gamma 90.00
_space_group_name_H-M_alt 'P 1 21/m 1'
_space_group_IT_number 11
_space_group_name_Hall '-P 2yb'
loop_
_atom_site_label
_atom_site_type_symbol
_atom_site_fract_x
_atom_site_fract_y
_atom_site_fract_z
Th1 Th 0.091 0.250 0.390
Th2 Th 0.119 0.250 0.836
Th3 Th 0.305 0.750 0.620
Mo1 Mo 0.114 0.250 0.624
I1 I 0.136 0.250 0.115
I2 I 0.379 0.750 0.875
I3 I 0.392 0.750 0.368

***

# 4
# P2HPd7 | Alexandria via LeMat-Bulk | GGA-PBE | optimized geometry
# **VASP energy**: -5.1749 eV per atom
data_P2HPd7
_chemical_formula_sum 'P4 H2 Pd14'
_cell_length_a 3.974
_cell_length_b 3.974
_cell_length_c 18.725
_cell_angle_alpha 90.00
_cell_angle_beta 90.00
_cell_angle_gamma 90.00
_space_group_name_H-M_alt 'I 4/m m m'
_space_group_IT_number 139
_space_group_name_Hall '-I 4 2'
loop_
_atom_site_label
_atom_site_type_symbol
_atom_site_fract_x
_atom_site_fract_y
_atom_site_fract_z
P1 P 0.000 0.000 0.168
H1 H 0.000 0.000 0.500
Pd1 Pd 0.000 0.000 0.000
Pd2 Pd 0.000 0.500 0.099
Pd3 Pd 0.000 0.500 0.250

***

# 5
# SrCuSbS3 | Alexandria via LeMat-Bulk | GGA-PBE | optimized geometry
# **Formation energy without anion corrections**: -0.842 eV per atom
# **VASP energy**: -4.5559 eV per atom
data_SrCuSbS3
_chemical_formula_sum 'Sr2 Cu2 Sb2 S6'
_cell_length_a 8.378
_cell_length_b 3.949
_cell_length_c 8.650
_cell_angle_alpha 90.00
_cell_angle_beta 103.19
_cell_angle_gamma 90.00
_space_group_name_H-M_alt 'P 1 21/m 1'
_space_group_IT_number 11
_space_group_name_Hall '-P 2yb'
loop_
_atom_site_label
_atom_site_type_symbol
_atom_site_fract_x
_atom_site_fract_y
_atom_site_fract_z
Sr1 Sr 0.182 0.250 0.240
Cu1 Cu 0.082 0.250 0.586
Sb1 Sb 0.333 0.750 0.837
S1 S 0.109 0.250 0.867
S2 S 0.211 0.750 0.511
S3 S 0.432 0.750 0.163

***

# 6
# TbBiAu | Alexandria via LeMat-Bulk | GGA-PBE | optimized geometry
# **Energy of formation**: -1.80 eV per formula unit
# **VASP energy**: -4.5305 eV per atom
data_TbBiAu
_chemical_formula_sum 'Tb4 Bi4 Au4'
_cell_length_a 5.314
_cell_length_b 5.331
_cell_length_c 11.307
_cell_angle_alpha 90.00
_cell_angle_beta 90.51
_cell_angle_gamma 90.00
_space_group_name_H-M_alt 'C 1 2/m 1'
_space_group_IT_number 12
_space_group_name_Hall '-C 2y'
loop_
_atom_site_label
_atom_site_type_symbol
_atom_site_fract_x
_atom_site_fract_y
_atom_site_fract_z
Tb1 Tb 0.246 0.000 0.302
Bi1 Bi 0.241 0.500 0.119
Au1 Au 0.249 0.500 0.431

***

# 7
# Ce4Ge4Pt | Alexandria via LeMat-Bulk | GGA-PBE | optimized geometry
# **Energy of formation**: -4.51 eV per formula unit
# **VASP energy**: -5.8618 eV per atom
data_Ce4Ge4Pt
_chemical_formula_sum 'Ce8 Ge8 Pt2'
_cell_length_a 8.755
_cell_length_b 8.755
_cell_length_c 5.965
_cell_angle_alpha 90.00
_cell_angle_beta 90.00
_cell_angle_gamma 90.00
_space_group_name_H-M_alt 'I 4/m'
_space_group_IT_number 87
_space_group_name_Hall '-I 4'
loop_
_atom_site_label
_atom_site_type_symbol
_atom_site_fract_x
_atom_site_fract_y
_atom_site_fract_z
Ce1 Ce 0.077 0.715 0.000
Ge1 Ge 0.089 0.724 0.500
Pt1 Pt 0.000 0.000 0.500

***

# 8
# KBiH | Alexandria via LeMat-Bulk | GGA-PBE | optimized geometry
# **E above lowest polymorph**: 31 kJ/mol of formula units
# **VASP energy**: -2.6939 eV per atom
data_KBiH
_chemical_formula_sum 'K2 Bi2 H2'
_cell_length_a 4.192
_cell_length_b 4.192
_cell_length_c 10.075
_cell_angle_alpha 90.00
_cell_angle_beta 90.00
_cell_angle_gamma 90.00
_space_group_name_H-M_alt 'P 4/n m m'
_space_group_IT_number 129
loop_
_space_group_symop_operation_xyz
'x,y,z'
'-x,-y,-z'
'-y+1/2,x,z'
'y+1/2,-x,-z'
'-x+1/2,-y+1/2,z'
'x+1/2,y+1/2,-z'
'y,-x+1/2,z'
'-y,x+1/2,-z'
'x+1/2,-y,-z'
'-x+1/2,y,z'
'-y,-x,-z'
'y,x,z'
'-x,y+1/2,-z'
'x,-y+1/2,z'
'y+1/2,x+1/2,-z'
'-y+1/2,-x+1/2,z'
loop_
_atom_site_label
_atom_site_type_symbol
_atom_site_fract_x
_atom_site_fract_y
_atom_site_fract_z
K1 K 0.250 0.250 0.148
Bi1 Bi 0.250 0.250 0.565
H1 H 0.250 0.750 0.000

***

# 9
# Sr2LiBiS | Alexandria via LeMat-Bulk | GGA-PBE | optimized geometry
# **Formation energy without anion corrections**: -1.229 eV per atom
# **VASP energy**: -3.8867 eV per atom
data_Sr2LiBiS
_chemical_formula_sum 'Sr2 Li1 Bi1 S1'
_cell_length_a 5.749
_cell_length_b 5.749
_cell_length_c 4.707
_cell_angle_alpha 90.00
_cell_angle_beta 90.00
_cell_angle_gamma 90.00
_space_group_name_H-M_alt 'P 4/m m m'
_space_group_IT_number 123
_space_group_name_Hall '-P 4 2'
loop_
_atom_site_label
_atom_site_type_symbol
_atom_site_fract_x
_atom_site_fract_y
_atom_site_fract_z
Sr1 Sr 0.000 0.500 0.000
Li1 Li 0.000 0.000 0.500
Bi1 Bi 0.500 0.500 0.500
S1 S 0.000 0.000 0.000

***

# 10
# AcSc2F8 | Alexandria via LeMat-Bulk | GGA-PBE | optimized geometry
# **Formation energy without anion corrections**: -3.788 eV per atom
# **VASP energy**: -6.6733 eV per atom
data_AcSc2F8
_chemical_formula_sum 'Ac1 Sc2 F8'
_cell_length_a 7.5774
_cell_length_b 7.5774
_cell_length_c 4.1043
_cell_angle_alpha 90.00
_cell_angle_beta 90.00
_cell_angle_gamma 120.00
_space_group_name_H-M_alt 'P -3'
_space_group_IT_number 147
_space_group_name_Hall '-P 3'
loop_
_atom_site_label
_atom_site_type_symbol
_atom_site_fract_x
_atom_site_fract_y
_atom_site_fract_z
Ac1 Ac 0.0000 0.0000 0.0000
Sc1 Sc 0.3333 0.6667 0.8014
F1 F 0.1826 0.3688 0.8069
F2 F 0.3333 0.6667 0.3041

***

# 11
# TlSiHSe | Alexandria via LeMat-Bulk | GGA-PBE | optimized geometry
# **E above lowest polymorph**: 90 kJ/mol of formula units
# **VASP energy**: -3.4712 eV per atom
data_TlSiHSe
_chemical_formula_sum 'Tl1 Si1 H1 Se1'
_cell_length_a 4.619
_cell_length_b 4.651
_cell_length_c 5.985
_cell_angle_alpha 67.88
_cell_angle_beta 81.72
_cell_angle_gamma 60.28
_space_group_name_H-M_alt 'P 1'
_space_group_IT_number 1
_space_group_name_Hall 'P 1'
loop_
_atom_site_label
_atom_site_type_symbol
_atom_site_fract_x
_atom_site_fract_y
_atom_site_fract_z
Tl1 Tl 0.000 0.000 0.000
Si1 Si 0.330 0.367 0.940
H1 H 0.553 0.737 0.478
Se1 Se 0.394 0.513 0.510

***

# 12
# Er2Se2Cl | Alexandria via LeMat-Bulk | GGA-PBE | optimized geometry
# **Formation energy without anion corrections**: -1.893 eV per atom
# **VASP energy**: -5.4816 eV per atom
data_Er2Se2Cl
_chemical_formula_sum 'Er8 Se8 Cl4'
_cell_length_a 12.664
_cell_length_b 5.624
_cell_length_c 8.010
_cell_angle_alpha 90.00
_cell_angle_beta 111.32
_cell_angle_gamma 90.00
_space_group_name_H-M_alt 'C 1 2/m 1'
_space_group_IT_number 12
_space_group_name_Hall '-C 2y'
loop_
_atom_site_label
_atom_site_type_symbol
_atom_site_fract_x
_atom_site_fract_y
_atom_site_fract_z
Er1 Er 0.005 0.000 0.244
Er2 Er 0.163 0.500 0.079
Se1 Se 0.011 0.500 0.263
Se2 Se 0.176 0.000 0.098
Cl1 Cl 0.153 0.000 0.597